(1)
# PBE TaBeB, relaxed
data_TaBeB
_chemical_formula_sum 'Ta4 Be4 B4'
_cell_length_a 3.158
_cell_length_b 13.399
_cell_length_c 3.118
_cell_angle_alpha 90.00
_cell_angle_beta 90.00
_cell_angle_gamma 90.00
_space_group_name_H-M_alt 'C m c m'
_space_group_IT_number 63
_space_group_name_Hall '-C 2c 2'
loop_
_atom_site_label
_atom_site_fract_x
_atom_site_fract_y
_atom_site_fract_z
Ta1 0.000 0.095 0.250
Be1 0.000 0.248 0.750
B1 0.000 0.344 0.250
# E	-7.568	eV/atom
# energy above the most stable polymorph in this dataset	536	meV per atom
# total moment	0.00	μB per formula unit
# crystal system	orthorhombic
# DOS(E_F)	5.63	states/eV/cell
# formation enthalpy at 0 K	-149.4	meV per atom

***

(2)
# PBE Ce6DyIn2, relaxed
data_Ce6DyIn2
_chemical_formula_sum 'Ce6 Dy1 In2'
_cell_length_a 9.4073
_cell_length_b 9.4073
_cell_length_c 3.1330
_cell_angle_alpha 90.00
_cell_angle_beta 90.00
_cell_angle_gamma 120.00
_space_group_name_H-M_alt 'P 6/m m m'
_space_group_IT_number 191
_space_group_name_Hall '-P 6 2'
loop_
_atom_site_label
_atom_site_fract_x
_atom_site_fract_y
_atom_site_fract_z
Ce1 0.0000 0.3482 0.0000
Dy1 0.0000 0.0000 0.5000
In1 0.3333 0.6667 0.5000
# E	-5.205	eV/atom
# total moment	1.84	μB per formula unit
# crystal system	hexagonal
# DOS(E_F)	20.77	states/eV/cell
# formation enthalpy at 0 K	-129.7	meV per atom

***

(3)
# PBE Pu12Ir6Ru, relaxed
data_Pu12Ir6Ru
_chemical_formula_sum 'Pu36 Ir18 Ru3'
_cell_length_a 12.2247
_cell_length_b 12.2247
_cell_length_c 11.4546
_cell_angle_alpha 90.00
_cell_angle_beta 90.00
_cell_angle_gamma 120.00
_space_group_name_H-M_alt 'R -3'
_space_group_IT_number 148
_space_group_name_Hall '-R 3'
loop_
_atom_site_label
_atom_site_fract_x
_atom_site_fract_y
_atom_site_fract_z
Pu1 0.0280 0.8167 0.3912
Pu2 0.0496 0.8426 0.8786
Ir1 0.0440 0.7767 0.6428
Ru1 0.0000 0.0000 0.0000
# E	-12.558	eV/atom
# total moment	63.88	μB per formula unit
# crystal system	trigonal
# DOS(E_F)	224.14	states/eV/cell
# formation enthalpy at 0 K	-219.6	meV per atom

***

(4)
# PBE CsGe2Au7, relaxed
data_CsGe2Au7
_chemical_formula_sum 'Cs2 Ge4 Au14'
_cell_length_a 9.302
_cell_length_b 11.118
_cell_length_c 4.746
_cell_angle_alpha 90.00
_cell_angle_beta 90.00
_cell_angle_gamma 90.00
_space_group_name_H-M_alt 'C m m m'
_space_group_IT_number 65
_space_group_name_Hall '-C 2 2'
loop_
_atom_site_label
_atom_site_fract_x
_atom_site_fract_y
_atom_site_fract_z
Cs1 0.000 0.000 0.000
Ge1 0.000 0.250 0.500
Au1 0.000 0.354 0.000
Au2 0.000 0.500 0.500
Au3 0.234 0.124 0.500
# E	-3.319	eV/atom
# total moment	0.00	μB per formula unit
# crystal system	orthorhombic
# DOS(E_F)	8.04	states/eV/cell
# formation enthalpy at 0 K	-15.9	meV per atom

***

(5)
# PBE Sm3PuPt8, relaxed
data_Sm3PuPt8
_chemical_formula_sum 'Sm9 Pu3 Pt24'
_cell_length_a 5.4794
_cell_length_b 5.4794
_cell_length_c 26.8395
_cell_angle_alpha 90.00
_cell_angle_beta 90.00
_cell_angle_gamma 120.00
_space_group_name_H-M_alt 'R 3 m'
_space_group_IT_number 160
_space_group_name_Hall 'R 3 -2"'
loop_
_atom_site_label
_atom_site_fract_x
_atom_site_fract_y
_atom_site_fract_z
Sm1 0.0000 0.0000 0.0000
Sm2 0.0000 0.0000 0.1259
Sm3 0.0000 0.0000 0.6220
Pu1 0.0000 0.0000 0.4978
Pt1 0.0000 0.0000 0.3114
Pt2 0.0000 0.0000 0.8115
Pt3 0.9997 0.4998 0.0612
Pt4 0.0010 0.5005 0.5616
# E	-7.421	eV/atom
# total moment	5.40	μB per formula unit
# crystal system	trigonal
# DOS(E_F)	57.53	states/eV/cell
# formation enthalpy at 0 K	-1020.1	meV per atom

***

(6)
# PBE Ce2LuAg, relaxed
data_Ce2LuAg
_chemical_formula_sum 'Ce2 Lu1 Ag1'
_cell_length_a 5.609
_cell_length_b 5.609
_cell_length_c 3.481
_cell_angle_alpha 90.00
_cell_angle_beta 90.00
_cell_angle_gamma 90.00
_space_group_name_H-M_alt 'P 4/m m m'
_space_group_IT_number 123
_space_group_name_Hall '-P 4 2'
loop_
_atom_site_label
_atom_site_fract_x
_atom_site_fract_y
_atom_site_fract_z
Ce1 0.000 0.500 0.000
Lu1 0.000 0.000 0.500
Ag1 0.500 0.500 0.500
# E	-4.702	eV/atom
# energy above the most stable polymorph in this dataset	51	meV per atom
# total moment	2.23	μB per formula unit
# crystal system	tetragonal
# DOS(E_F)	12.22	states/eV/cell
# formation enthalpy at 0 K	107.8	meV per atom

***

(7)
# PBE KLi2UBr6, relaxed
data_KLi2UBr6
_chemical_formula_sum 'K4 Li8 U4 Br24'
_cell_length_a 15.050
_cell_length_b 13.187
_cell_length_c 8.321
_cell_angle_alpha 90.00
_cell_angle_beta 114.95
_cell_angle_gamma 90.00
_space_group_name_H-M_alt 'C 1 2/c 1'
_space_group_IT_number 15
_space_group_name_Hall '-C 2yc'
loop_
_atom_site_label
_atom_site_fract_x
_atom_site_fract_y
_atom_site_fract_z
K1 0.000 0.093 0.250
Li1 0.198 0.429 0.122
U1 0.000 0.274 0.750
Br1 0.103 0.275 0.132
Br2 0.118 0.108 0.697
Br3 0.148 0.428 0.785
# E	-4.084	eV/atom
# energy relative to the elements, uncorrected	-140.80	kJ per mole of atoms
# total moment	3.00	μB per formula unit
# crystal system	monoclinic

***

(8)
# PBE CsRb2HfCl6, relaxed
data_CsRb2HfCl6
_chemical_formula_sum 'Cs6 Rb12 Hf6 Cl36'
_cell_length_a 7.4573
_cell_length_b 7.4573
_cell_length_c 50.1323
_cell_angle_alpha 90.00
_cell_angle_beta 90.00
_cell_angle_gamma 120.00
_space_group_name_H-M_alt 'R -3 m'
_space_group_IT_number 166
_space_group_name_Hall '-R 3 2"'
loop_
_atom_site_label
_atom_site_fract_x
_atom_site_fract_y
_atom_site_fract_z
Cs1 0.0000 0.0000 0.0849
Rb1 0.0000 0.0000 0.1865
Rb2 0.0000 0.0000 0.3531
Hf1 0.0000 0.0000 0.0000
Hf2 0.0000 0.0000 0.5000
Cl1 0.0139 0.5069 0.6374
Cl2 0.0161 0.5080 0.1961
# E	-4.199	eV/atom
# energy relative to the elements, uncorrected	-175.33	kJ per mole of atoms
# energy above the most stable polymorph in this dataset	0	meV per atom
# total moment	0.99	μB per formula unit
# crystal system	trigonal
# DOS(E_F)	36.01	states/eV/cell

***

(9)
# PBE ZnTe2PbI, relaxed
data_ZnTe2PbI
_chemical_formula_sum 'Zn1 Te2 Pb1 I1'
_cell_length_a 5.362
_cell_length_b 5.362
_cell_length_c 5.635
_cell_angle_alpha 90.00
_cell_angle_beta 90.00
_cell_angle_gamma 90.00
_space_group_name_H-M_alt 'P 4/m m m'
_space_group_IT_number 123
_space_group_name_Hall '-P 4 2'
loop_
_atom_site_label
_atom_site_fract_x
_atom_site_fract_y
_atom_site_fract_z
Zn1 0.000 0.000 0.000
Te1 0.000 0.500 0.000
Pb1 0.500 0.500 0.500
I1 0.000 0.000 0.500
# E	-2.523	eV/atom
# energy relative to the elements, uncorrected	3.85	kJ per mole of atoms
# energy above the most stable polymorph in this dataset	0	meV per atom
# total moment	0.00	μB per formula unit
# crystal system	tetragonal
# DOS(E_F)	2.87	states/eV/cell

***

(10)
# PBE CeMn5Si3, relaxed
data_CeMn5Si3
_chemical_formula_sum 'Ce4 Mn20 Si12'
_cell_length_a 3.857
_cell_length_b 12.073
_cell_length_c 11.167
_cell_angle_alpha 90.00
_cell_angle_beta 90.00
_cell_angle_gamma 90.00
_space_group_name_H-M_alt 'C m c m'
_space_group_IT_number 63
_space_group_name_Hall '-C 2c 2'
loop_
_atom_site_label
_atom_site_fract_x
_atom_site_fract_y
_atom_site_fract_z
Ce1 0.000 0.165 0.250
Mn1 0.000 0.000 0.000
Mn2 0.000 0.192 0.555
Mn3 0.000 0.443 0.150
Si1 0.000 0.121 0.750
Si2 0.000 0.383 0.554
# E	-7.927	eV/atom
# energy relative to the elements, uncorrected	-35.33	kJ per mole of atoms
# total moment	6.30	μB per formula unit
# crystal system	orthorhombic
# DOS(E_F)	36.53	states/eV/cell

***

(11)
# PBE Tb4Hg3, relaxed
data_Tb4Hg3
_chemical_formula_sum 'Tb12 Hg9'
_cell_length_a 5.0180
_cell_length_b 5.0180
_cell_length_c 29.2208
_cell_angle_alpha 90.00
_cell_angle_beta 90.00
_cell_angle_gamma 120.00
_space_group_name_H-M_alt 'R -3 m'
_space_group_IT_number 166
_space_group_name_Hall '-R 3 2"'
loop_
_atom_site_label
_atom_site_fract_x
_atom_site_fract_y
_atom_site_fract_z
Tb1 0.0000 0.0000 0.1219
Tb2 0.0000 0.0000 0.2961
Hg1 0.0000 0.0000 0.3996
Hg2 0.0000 0.0000 0.5000
# E	-2.941	eV/atom
# energy above the most stable polymorph in this dataset	152	meV per atom
# total moment	0.79	μB per formula unit
# crystal system	trigonal
# DOS(E_F)	35.01	states/eV/cell
# formation enthalpy at 0 K	-165.4	meV per atom